La2Sm4Hg3N2 | GGA-PBE | optimized geometry

Summary:
**Density of states at the Fermi level**: 12.9 states/eV/f.u.
**E_form (uncorrected)**: -0.7187 eV per atom
**Magnetization**: 0.000 μB/f.u.
**Space group**: I4/mmm, No. 139

Cell and atoms, written as extended XYZ:
```
11
Lattice="-1.5232 -4.1749 -2.1790 3.2031 -2.5972 2.7372 -9.2916 1.9961 8.2923" Properties=species:S:1:pos:R:3 pbc="T T T"
N -6.7086 -1.1033 6.8037
N -0.9031 -3.6727 2.0468
La -2.4724 -3.9308 3.6384
La -5.1393 -0.8452 5.2121
Sm 0.2050 -1.5283 2.7849
Sm -2.1581 -2.3171 0.3268
Sm -7.8167 -3.2478 6.0656
Sm -5.4536 -2.4589 8.5237
Hg -4.7449 -4.3046 5.9431
Hg 0.0000 0.0000 0.0000
Hg -2.8668 -0.4715 2.9074
```

Ce2Sm4Pb3O2 | GGA-PBE | optimized geometry

Summary:
**Density of states at the Fermi level**: 16.5 states/eV/f.u.
**E_form (uncorrected)**: -1.3289 eV per atom
**Magnetization**: 2.109 μB/f.u.
**Space group**: I4/mmm, No. 139

Cell and atoms, written as extended XYZ:
```
11
Lattice="4.8126 0.0000 0.0000 0.0000 4.8126 0.0000 -2.4063 -2.4063 13.0038" Properties=species:S:1:pos:R:3 pbc="T T T"
Pb 2.4063 2.4063 8.3953
Pb 0.0000 0.0000 0.0000
Pb 0.0000 0.0000 4.6085
Sm 2.4063 0.0000 10.8622
Sm 0.0000 2.4063 10.8622
Sm 2.4063 0.0000 2.1415
Sm 0.0000 2.4063 2.1415
O 2.4063 2.4063 2.6399
O 0.0000 0.0000 10.3639
Ce 2.4063 2.4063 5.0182
Ce 0.0000 0.0000 7.9855
```

Pm2Ga2Pd5 | GGA-PBE | optimized geometry

Summary:
**Density of states at the Fermi level**: 6.5 states/eV/f.u.
**Magnetization**: 0.000 μB/f.u.
**E_tot**: -48.7 eV for the cell shown
**Space group**: P4/mmm, No. 123

Cell and atoms, written as extended XYZ:
```
9
Lattice="-2.8942 2.7293 -1.5690 -2.6014 -3.2737 -0.8959 -3.8458 0.7552 8.4076" Properties=species:S:1:pos:R:3 pbc="T T T"
Ga -6.0662 0.3795 6.0221
Ga -3.2752 -0.1686 -0.0794
Pd -2.5089 1.5731 1.5366
Pd -4.0848 -1.0901 5.6385
Pd -4.6707 0.1054 2.9713
Pd -4.2312 1.9114 5.3019
Pd -2.3625 -1.4283 1.8732
Pm -1.9229 0.3776 4.2038
Pm 0.0000 0.0000 0.0000
```

CaSmCo4 | GGA-PBE | optimized geometry

Summary:
**Density of states at the Fermi level**: 9.0 states/eV/f.u.
**Magnetization**: 4.765 μB/f.u.
**E_tot**: -35.2 eV for the cell shown
**Space group**: F-43m, No. 216

Cell and atoms, written as extended XYZ:
```
6
Lattice="-1.3101 2.6601 -4.1828 -4.7684 1.8191 -0.4920 -0.8677 5.0421 0.3359" Properties=species:S:1:pos:R:3 pbc="T T T"
Ca 0.0000 0.0000 0.0000
Sm -1.7365 2.3803 -1.0847
Co -4.3398 5.9487 -2.7108
Co -3.6859 4.6210 -0.6231
Co -1.9598 5.0408 -2.4653
Co -3.9067 3.4321 -2.8785
```

LiIrOs | GGA-PBE | optimized geometry

Summary:
**Density of states at the Fermi level**: 2.2 states/eV/f.u.
**ΔE to the lowest computed polymorph**: 72 meV/atom
**Magnetization**: 0.000 μB/f.u.
**Space group**: Amm2, No. 38

Cell and atoms, written as extended XYZ:
```
6
Lattice="2.6950 0.0000 0.0000 -1.3475 2.3342 0.0000 0.0000 0.0000 13.4836" Properties=species:S:1:pos:R:3 pbc="T T T"
Os 1.3475 0.5154 4.5291
Os 1.3475 0.5154 8.9545
Ir 0.0000 1.2935 6.7418
Ir 1.3475 0.5219 0.0000
Li 0.0000 1.3000 2.1869
Li 0.0000 1.3000 11.2968
```

AgCCl3 | GGA-PBE | optimized geometry

Summary:
**Density of states at the Fermi level**: 0.0 states/eV/f.u.
**ΔE to the lowest computed polymorph**: 0 meV/atom
**E_form (uncorrected)**: 0.7947 eV per atom
**Magnetization**: 0.000 μB/f.u.
**Space group**: Pm-3m, No. 221

Cell and atoms, written as extended XYZ:
```
5
Lattice="4.5136 0.0000 0.0000 0.0000 4.5136 0.0000 0.0000 0.0000 4.5136" Properties=species:S:1:pos:R:3 pbc="T T T"
Cl 0.0000 0.0000 2.2568
Cl 0.0000 2.2568 0.0000
Cl 2.2568 0.0000 0.0000
C 0.0000 0.0000 0.0000
Ag 2.2568 2.2568 2.2568
```

SrTlSeO5 | GGA-PBE | optimized geometry

Summary:
**E_form (uncorrected)**: -1.2929 eV per atom
**Magnetization**: 0.000 μB/f.u.
**Space group**: C2/c, No. 15

Cell and atoms, written as extended XYZ:
```
16
Lattice="-3.3207 -4.9995 2.1704 5.0327 0.7519 3.8522 -4.2227 4.9235 4.1372" Properties=species:S:1:pos:R:3 pbc="T T T"
Sr 1.0773 -0.0137 4.3027
Sr -3.5880 0.6897 5.8571
O -0.7015 1.5613 5.3424
O 3.1039 1.3816 4.7107
O -1.8093 -0.8853 4.8173
O -0.1469 4.2524 5.7530
O 0.7263 2.4666 7.5225
O -5.6147 -0.7057 5.4491
O -2.3638 -3.5764 4.4067
O -0.5035 -2.2179 2.8886
O -3.2371 -1.7907 2.6372
O -2.0072 2.8938 7.2711
Tl 0.0000 0.0000 0.0000
Tl -2.1114 2.4617 2.0686
Se -1.9677 -2.1102 3.6896
Se -0.5431 2.7861 6.4701
```

Ca2CdS2 | GGA-PBE | optimized geometry

Summary:
**Density of states at the Fermi level**: 0.0 states/eV/f.u.
**ΔE to the lowest computed polymorph**: 92 meV/atom
**E_form (uncorrected)**: -1.2826 eV per atom
**Magnetization**: 0.000 μB/f.u.
**Space group**: I4/mmm, No. 139

Cell and atoms, written as extended XYZ:
```
5
Lattice="-3.6486 -3.7189 -0.3174 3.0476 -2.7121 -3.2557 2.2418 -6.1194 3.0123" Properties=species:S:1:pos:R:3 pbc="T T T"
Cd 0.0000 0.0000 0.0000
S 1.0135 -8.2750 -0.5257
S 0.6273 -4.2753 -0.0352
Ca 2.4944 -6.0235 -1.0150
Ca -0.8536 -6.5268 0.4541
```

Q: Look up the magnetization of the sixth one.
A: 0.000 μB/f.u.